Compound: RePtSe2
Source: Alexandria
Functional: PBE-GGA
Structure: optimized geometry

Unit cell a=4.6896 b=4.6896 c=4.6896 alpha=125.95 beta=125.95 gamma=79.96
Fractional coordinates of all 4 atoms:
Pt1 0.2500 0.7500 0.5000
Re1 0.7500 0.2500 0.5000
Se1 0.0000 0.0000 0.0000
Se2 0.5000 0.5000 0.0000

Summary:
Symmetry ... I4/mmm
VASP energy ... -23.19 eV per cell
Excess energy over the best structure of this formula in the dataset ... 478 meV/atom
ρ ... 13.72 g cm⁻³
DOS at the Fermi energy ... 3.00 states/eV/f.u.
Total magnetic moment ... 0.00 μB per cell
Formation energy from raw total energies ... 0.5659 eV per atom
Volume ... 65 Å³ per cell